(1)
VASP calculation (PBE) on an optimized crystal structure of Ca2TbPrSe4.

Cell lengths 7.2120, 4.1593, 7.3436 Å; angles 90.00, 109.06, 90.00 degrees
Element x y z (fractional)
Ca  0.0000  0.0000  0.0000
Ca  0.5000  0.5000  0.0000
Tb  0.0000  0.5000  0.5000
Pr  0.5000  0.0000  0.5000
Se  0.2409  0.5000  0.2444
Se  0.2432  0.0000  0.7501
Se  0.7568  0.0000  0.2499
Se  0.7591  0.5000  0.7556

Properties
Magnetic moment: 0.0 μB/f.u.
Final energy: -5.31 eV/atom
Formation energy (no corrections): -43.6 kcal/mol of atoms
SG: P2/m, No. 10

(2)
VASP calculation (PBE) on an optimized crystal structure of In4HgI2F.

Cell lengths 9.0857, 9.0857, 8.2342 Å; angles 115.27, 115.27, 88.70 degrees
Element x y z (fractional)
In  0.1642  0.6909  0.9981
In  0.2251  0.2442  0.9749
In  0.2442  0.2251  0.4749
In  0.3091  0.8358  0.5019
In  0.6909  0.1642  0.4981
In  0.7558  0.7749  0.5251
In  0.7749  0.7558  0.0251
In  0.8358  0.3091  0.0019
Hg  0.0000  0.0000  0.0000
Hg  0.0000  0.0000  0.5000
I  0.0000  0.5000  0.5000
I  0.5000  0.0000  0.0000
I  0.5000  0.5000  0.0000
I  0.5000  0.5000  0.5000
F  0.0000  0.5000  0.0000
F  0.5000  0.0000  0.5000

Properties
Magnetic moment: 0.0 μB/f.u.
Final energy: -2.58 eV/atom
Formation energy (no corrections): -12.6 kcal/mol of atoms
SG: C2/c, No. 15

(3)
VASP calculation (PBE) on an optimized crystal structure of LiZrTc2.

Cell lengths 9.8981, 9.8981, 9.8981 Å; angles 16.20, 16.20, 16.20 degrees
Element x y z (fractional)
Li  0.0000  0.0000  0.0000
Zr  0.5000  0.5000  0.5000
Tc  0.2538  0.2538  0.2538
Tc  0.7462  0.7462  0.7462

Properties
Magnetic moment: 0.4 μB/f.u.
Final energy: -7.40 eV/atom
Formation energy: 38.3 kJ/mol of atoms
Relative energy among the computed polymorphs: 340 meV/atom
SG: R-3m, No. 166

(4)
VASP calculation (PBE) on an optimized crystal structure of Pt2PbW.

Cell lengths 5.7233, 5.7233, 5.7233 Å; angles 149.73, 128.65, 60.77 degrees
Element x y z (fractional)
Pt  0.2305  0.2305  0.0000
Pt  0.7695  0.7695  0.0000
Pb  0.5000  0.0000  0.5000
W  0.0000  0.5000  0.5000

Properties
Magnetic moment: 0.0 μB/f.u.
Final energy: -6.76 eV/atom
Formation energy: 41.0 kJ/mol of atoms
SG: Immm, No. 71

(5)
VASP calculation (PBE) on an optimized crystal structure of SiNiBr4.

Cell lengths 6.1410, 6.1410, 6.1410 Å; angles 60.00, 60.00, 60.00 degrees
Element x y z (fractional)
Si  0.0000  0.0000  0.0000
Ni  0.2500  0.2500  0.2500
Br  0.1280  0.6240  0.6240
Br  0.6240  0.1280  0.6240
Br  0.6240  0.6240  0.1280
Br  0.6240  0.6240  0.6240

Properties
Magnetic moment: 0.6 μB/f.u.
Final energy: -1.72 eV/atom
Formation energy (no corrections): 29.1 kcal/mol of atoms
SG: F-43m, No. 216

(6)
VASP calculation (PBE) on an optimized crystal structure of Pm12SmEr2.

Cell lengths 6.5066, 6.5066, 25.4961 Å; angles 90.00, 90.00, 90.00 degrees
Element x y z (fractional)
Pm  0.0679  0.5679  0.1155
Pm  0.0679  0.9321  0.8845
Pm  0.0819  0.5819  0.5621
Pm  0.0819  0.9181  0.4379
Pm  0.2500  0.2500  0.2161
Pm  0.2500  0.2500  0.3374
Pm  0.2500  0.2500  0.6626
Pm  0.2500  0.2500  0.7839
Pm  0.4181  0.5819  0.4379
Pm  0.4181  0.9181  0.5621
Pm  0.4321  0.5679  0.8845
Pm  0.4321  0.9321  0.1155
Pm  0.5679  0.0679  0.8845
Pm  0.5679  0.4321  0.1155
Pm  0.5819  0.0819  0.4379
Pm  0.5819  0.4181  0.5621
Pm  0.7500  0.7500  0.2161
Pm  0.7500  0.7500  0.3374
Pm  0.7500  0.7500  0.6626
Pm  0.7500  0.7500  0.7839
Pm  0.9181  0.0819  0.5621
Pm  0.9181  0.4181  0.4379
Pm  0.9321  0.0679  0.1155
Pm  0.9321  0.4321  0.8845
Sm  0.2500  0.7500  0.0000
Sm  0.7500  0.2500  0.0000
Er  0.2500  0.7500  0.2731
Er  0.2500  0.7500  0.7269
Er  0.7500  0.2500  0.2731
Er  0.7500  0.2500  0.7269

Properties
Magnetic moment: 0.0 μB/f.u.
Final energy: -4.41 eV/atom
Formation energy: 30.5 kJ/mol of atoms
SG: P4/nbm, No. 125

(7)
VASP calculation (PBE) on an optimized crystal structure of KSrO3.

Cell lengths 4.4639, 4.4639, 4.4639 Å; angles 90.00, 90.00, 90.00 degrees
Element x y z (fractional)
K  0.0000  0.0000  0.0000
Sr  0.5000  0.5000  0.5000
O  0.0000  0.0000  0.5000
O  0.0000  0.5000  0.0000
O  0.5000  0.0000  0.0000

Properties
Magnetic moment: 3.0 μB/f.u.
Final energy: -3.99 eV/atom
Formation energy (no corrections): -10.6 kcal/mol of atoms
SG: Pm-3m, No. 221

(8)
VASP calculation (PBE) on an optimized crystal structure of NdHo5Ag4.

Cell lengths 3.5960, 3.5960, 19.7701 Å; angles 90.00, 90.00, 90.00 degrees
Element x y z (fractional)
Nd  0.0000  0.0000  0.0000
Ho  0.5000  0.5000  0.1294
Ho  0.5000  0.5000  0.3137
Ho  0.5000  0.5000  0.5000
Ho  0.5000  0.5000  0.6863
Ho  0.5000  0.5000  0.8706
Ag  0.0000  0.0000  0.2210
Ag  0.0000  0.0000  0.4071
Ag  0.0000  0.0000  0.5929
Ag  0.0000  0.0000  0.7790

Properties
Magnetic moment: 0.0 μB/f.u.
Final energy: -4.16 eV/atom
Formation energy: -24.5 kJ/mol of atoms
SG: P4/mmm, No. 123

(9)
VASP calculation (PBE) on an optimized crystal structure of Mg2CoPdPt5.

Cell lengths 7.5446, 7.5446, 7.5446 Å; angles 121.19, 121.19, 87.96 degrees
Element x y z (fractional)
Mg  0.1110  0.6110  0.7220
Mg  0.3890  0.1110  0.5000
Mg  0.6110  0.8890  0.5000
Mg  0.8890  0.3890  0.2780
Co  0.2500  0.2500  0.0000
Co  0.7500  0.7500  0.0000
Pd  0.2500  0.7500  0.5000
Pd  0.7500  0.2500  0.5000
Pt  0.0000  0.0000  0.0000
Pt  0.0752  0.1608  0.5000
Pt  0.1608  0.6608  0.0856
Pt  0.3392  0.4248  0.5000
Pt  0.4248  0.9248  0.0856
Pt  0.5000  0.5000  0.0000
Pt  0.5752  0.0752  0.9144
Pt  0.6608  0.5752  0.5000
Pt  0.8392  0.3392  0.9144
Pt  0.9248  0.8392  0.5000

Properties
Magnetic moment: 2.7 μB/f.u.
Final energy: -4.95 eV/atom
Formation energy: 12.7 kJ/mol of atoms
SG: I4/mcm, No. 140

(10)
VASP calculation (PBE) on an optimized crystal structure of BaCa2W.

Cell lengths 5.6939, 5.6939, 5.6939 Å; angles 60.00, 60.00, 60.00 degrees
Element x y z (fractional)
Ba  0.0000  0.0000  0.0000
Ca  0.2500  0.2500  0.2500
Ca  0.5000  0.5000  0.5000
W  0.7500  0.7500  0.7500

Properties
Magnetic moment: 2.5 μB/f.u.
Final energy: -3.71 eV/atom
Formation energy: 97.9 kJ/mol of atoms
Relative energy among the computed polymorphs: 162 meV/atom
SG: F-43m, No. 216

(11)
VASP calculation (PBE) on an optimized crystal structure of Mg2Sn2Bi.

Cell lengths 6.5632, 4.6509, 8.9497 Å; angles 90.00, 96.66, 90.00 degrees
Element x y z (fractional)
Mg  0.0326  0.2500  0.2556
Mg  0.3448  0.7500  0.4205
Mg  0.6552  0.2500  0.5795
Mg  0.9674  0.7500  0.7444
Sn  0.1741  0.2500  0.5943
Sn  0.4678  0.7500  0.7828
Sn  0.5322  0.2500  0.2172
Sn  0.8259  0.7500  0.4057
Bi  0.2031  0.7500  0.0688
Bi  0.7969  0.2500  0.9312

Properties
Magnetic moment: 0.0 μB/f.u.
Final energy: -3.09 eV/atom
Formation energy: -7.2 kJ/mol of atoms
Relative energy among the computed polymorphs: 0 meV/atom
SG: P2_1/m, No. 11

(12)
VASP calculation (PBE) on an optimized crystal structure of LiRuF2.

Cell lengths 5.3841, 5.3841, 5.3841 Å; angles 127.06, 127.06, 78.16 degrees
Element x y z (fractional)
Li  0.0000  0.0000  0.0000
Li  0.7500  0.2500  0.5000
Ru  0.2500  0.7500  0.5000
Ru  0.5000  0.5000  0.0000
F  0.0504  0.6250  0.9254
F  0.3750  0.3004  0.4254
F  0.6996  0.1250  0.0746
F  0.8750  0.9496  0.5746

Properties
Magnetic moment: 0.0 μB/f.u.
Final energy: -4.81 eV/atom
Formation energy (no corrections): -24.8 kcal/mol of atoms
Relative energy among the computed polymorphs: 728 meV/atom
SG: I-42d, No. 122